TaSe3 (PBEsol, relaxed); formation energy (no corrections) = -0.177 eV per atom; density of states at the Fermi level = 2.31 states/eV/f.u.; symmetry = Immm, No. 71; calculated total energy = -24.81 eV for the cell shown
1.0
-1.595 2.260 5.939
1.595 -2.260 5.939
1.595 2.260 -5.939
Ta Se
1 3
direct
0.000 0.000 0.000
0.174 0.674 0.500
0.500 0.500 0.000
0.826 0.326 0.500